# MnTl2SeO

Crystalline MnTl2SeO at its relaxed geometry (PBE+U, the Alexandria database).

```
MnTl2SeO
1.0
5.387 0.000 0.000
0.000 5.387 0.000
0.000 0.000 4.405
Mn Tl Se O
1 2 1 1
Direct
0.000 0.000 0.000
0.000 0.500 0.000
0.500 0.000 0.000
0.000 0.000 0.500
0.500 0.500 0.500
```

DOS at the Fermi energy, states/eV/atom: 1.116
Electronic total energy, eV per atom: -3.22
Total moment, μB/f.u.: 0.40